Record 1
10
Lattice="5.370 0.000 0.000 0.000 6.834 -0.001 0.000 -3.416 5.919" Properties=species:S:1:pos:R:3 comment="Hf3ZnSn, relaxed, DFT PBE-GGA" formation_energy_ev_per_atom=0.098 spacegroup="P6_3/mmc (194)" n_ef_per_ev_cell=5.78 final_energy_ev_per_atom=-6.9299 pbc="T T T"
Sn 1.343 0.001 3.946
Sn 4.028 3.417 1.973
Hf 4.028 1.484 4.801
Hf 4.028 -1.481 4.802
Hf 1.343 1.934 1.117
Hf 1.343 4.900 1.117
Hf 4.028 0.001 2.234
Hf 1.343 3.417 3.685
Zn 2.685 0.000 0.000
Zn 0.000 0.000 0.000

=====

Record 2
24
Lattice="-1.683 0.556 3.939 -7.769 -5.871 -2.492 5.822 -9.319 3.804" Properties=species:S:1:pos:R:3 comment="Hf3ZnSn2, relaxed, DFT PBE-GGA" formation_energy_ev_per_atom=-0.235 spacegroup="Pnma (62)" n_ef_per_ev_cell=12.36 final_energy_ev_per_atom=-6.7579 pbc="T T T"
Hf -7.453 -6.132 1.232
Hf -4.453 -5.543 0.063
Hf 0.823 -9.091 5.187
Hf -0.736 -3.409 3.719
Hf 1.718 -5.411 2.682
Hf 3.824 -8.503 4.018
Hf -2.226 -9.041 3.877
Hf -5.348 -9.223 2.568
Hf -2.894 -11.225 1.531
Hf -0.357 -12.311 5.137
Hf -1.404 -5.593 1.374
Hf -3.273 -2.323 0.113
Sn -2.862 -8.257 1.126
Sn -0.767 -6.377 4.124
Sn -2.469 -0.803 2.611
Sn -5.949 -8.287 -0.189
Sn 2.319 -6.347 5.439
Sn -1.160 -13.831 2.640
Sn -3.601 -3.961 2.572
Sn -0.029 -10.673 2.678
Zn -4.225 -6.555 2.672
Zn 0.595 -8.079 2.579
Zn -0.606 -2.126 1.225
Zn -3.024 -12.508 4.025

=====

Record 3
5
Lattice="-4.655 -1.725 -1.468 0.839 -4.429 2.546 -2.104 2.052 4.262" Properties=species:S:1:pos:R:3 comment="HfZn3Sn, relaxed, DFT PBE-GGA" formation_energy_ev_per_atom=0.870 spacegroup="Pm-3m (221)" n_ef_per_ev_cell=4.43 final_energy_ev_per_atom=-2.6859 pbc="T T T"
Sn -2.960 -2.051 2.670
Zn -2.327 -0.863 -0.734
Zn 0.419 -2.214 1.273
Zn -1.052 1.026 2.131
Hf 0.000 0.000 0.000

=====

Record 4
4
Lattice="4.094 0.000 0.000 2.047 3.546 0.000 2.047 1.182 6.453" Properties=species:S:1:pos:R:3 comment="Hf2ZnSn, relaxed, DFT PBE-GGA" formation_energy_ev_per_atom=0.202 spacegroup="R3m (160)" n_ef_per_ev_cell=3.93 final_energy_ev_per_atom=-6.0938 pbc="T T T"
Zn 4.094 2.364 3.236
Sn 6.141 3.546 6.451
Hf 2.047 1.182 1.655
Hf 2.047 1.182 4.790

=====

Record 5
3
Lattice="-1.044 2.830 0.739 0.980 -0.819 4.523 3.248 1.929 -2.796" Properties=species:S:1:pos:R:3 comment="HfZnSn, relaxed, DFT PBE-GGA" formation_energy_ev_per_atom=-0.068 spacegroup="P-6m2 (187)" n_ef_per_ev_cell=2.92 final_energy_ev_per_atom=-5.1448 pbc="T T T"
Zn -0.871 2.359 0.616
Hf 1.388 1.040 2.330
Sn 1.622 3.370 0.259

=====

Record 6
3
Lattice="3.890 0.000 0.000 0.000 3.890 0.000 -1.945 -1.945 4.213" Properties=species:S:1:pos:R:3 comment="HfZnSn, relaxed, DFT PBE-GGA" formation_energy_ev_per_atom=0.111 spacegroup="I4mm (107)" n_ef_per_ev_cell=2.55 final_energy_ev_per_atom=-4.9656 pbc="T T T"
Sn 1.945 1.945 1.045
Hf 0.000 0.000 2.363
Zn 1.945 1.945 3.754

=====

Record 7
6
Lattice="5.314 0.000 0.000 2.657 4.602 0.000 2.657 1.534 4.339" Properties=species:S:1:pos:R:3 comment="HfZn4Sn, relaxed, DFT PBE-GGA" formation_energy_ev_per_atom=0.051 spacegroup="F-43m (216)" n_ef_per_ev_cell=5.83 final_energy_ev_per_atom=-3.1246 pbc="T T T"
Zn 6.634 3.830 2.708
Zn 3.994 3.830 2.708
Zn 5.314 1.544 2.708
Zn 5.314 3.068 0.553
Hf 2.657 1.534 1.085
Sn 0.000 0.000 0.000

=====

Record 8
11
Lattice="-2.729 0.863 4.340 3.867 -6.308 0.578 6.277 3.960 0.050" Properties=species:S:1:pos:R:3 comment="Hf7ZnSn3, relaxed, DFT PBE-GGA" formation_energy_ev_per_atom=0.061 spacegroup="Immm (71)" n_ef_per_ev_cell=12.36 final_energy_ev_per_atom=-7.4802 pbc="T T T"
Sn 4.420 -3.952 0.457
Sn 5.724 1.604 0.171
Sn -1.364 0.432 2.170
Zn 3.707 -0.742 2.484
Hf 4.320 -3.655 3.449
Hf 1.844 -3.159 1.793
Hf 5.571 1.675 3.175
Hf 3.095 2.171 1.519
Hf 1.464 -0.293 0.977
Hf 5.072 -1.174 0.314
Hf 5.951 -1.191 3.991

=====

Record 9
20
Lattice="5.851 0.000 0.000 0.000 8.715 1.192 0.000 -0.783 8.761" Properties=species:S:1:pos:R:3 comment="Hf6ZnSn3, relaxed, DFT PBE-GGA" formation_energy_ev_per_atom=-0.058 spacegroup="Cmc2_1 (36)" n_ef_per_ev_cell=12.62 final_energy_ev_per_atom=-7.3588 pbc="T T T"
Hf 1.528 0.215 4.525
Hf 1.528 3.568 8.733
Hf 1.398 4.016 2.990
Hf 4.323 3.916 6.963
Hf 4.454 4.363 1.220
Hf 1.398 5.913 5.371
Hf 1.307 -0.554 8.578
Hf 4.323 2.018 4.582
Hf 4.232 8.485 1.374
Hf 3.115 1.145 7.224
Hf 4.454 7.716 5.427
Hf 0.190 6.786 2.728
Zn 5.842 1.301 7.100
Zn 2.917 6.631 2.852
Sn 4.421 4.899 4.232
Sn 5.778 1.341 2.177
Sn 1.496 3.033 5.720
Sn 5.778 6.109 8.160
Sn 2.852 1.823 1.793
Sn 2.852 6.591 7.776

=====

Record 10
4
Lattice="-1.385 3.628 -2.375 -3.039 2.872 1.798 2.018 4.708 1.652" Properties=species:S:1:pos:R:3 comment="Hf2ZnSn, relaxed, DFT PBE-GGA" formation_energy_ev_per_atom=-0.100 spacegroup="R-3m (166)" n_ef_per_ev_cell=1.94 final_energy_ev_per_atom=-6.3961 pbc="T T T"
Hf -1.939 8.308 0.736
Hf -0.467 2.900 0.340
Sn 0.000 0.000 0.000
Zn -1.203 5.604 0.538

=====

Record 11
16
Lattice="4.800 0.000 0.000 -2.400 6.895 0.000 0.000 0.000 12.138" Properties=species:S:1:pos:R:3 comment="Hf5ZnSn2, relaxed, DFT PBE-GGA" formation_energy_ev_per_atom=0.195 spacegroup="Cmcm (63)" n_ef_per_ev_cell=14.25 final_energy_ev_per_atom=-7.1856 pbc="T T T"
Sn 2.400 5.438 1.529
Sn 2.400 5.438 4.540
Sn 0.000 1.457 10.609
Sn 0.000 1.457 7.599
Hf 0.000 1.501 1.489
Hf 0.000 4.192 9.104
Hf 2.400 5.394 10.650
Hf 0.000 4.270 0.143
Hf 2.400 2.624 6.212
Hf 2.400 2.624 11.996
Hf 0.000 1.501 4.581
Hf 2.400 5.394 7.558
Hf 2.400 2.703 3.035
Hf 0.000 4.270 5.927
Zn 0.000 4.227 3.035
Zn 2.400 2.668 9.104

=====

Record 12
4
Lattice="-1.282 -3.713 1.746 3.581 -0.111 2.393 -2.022 2.168 3.126" Properties=species:S:1:pos:R:3 comment="Hf2ZnSn, relaxed, DFT PBE-GGA" formation_energy_ev_per_atom=-0.241 spacegroup="P4/mmm (123)" n_ef_per_ev_cell=2.58 final_energy_ev_per_atom=-6.5365 pbc="T T T"
Zn 0.138 -0.828 3.632
Hf 1.790 -0.055 1.197
Hf -1.011 1.084 1.563
Sn -0.641 -1.857 0.873